Record 1
{
  "formula": "MgReOsAu2",
  "functional": "PBE-GGA",
  "state": "optimized geometry",
  "final_energy_ev_per_atom": -4.278,
  "formation_energy_ev_per_atom": 2.09,
  "dos_ef_per_ev_cell": 4.8,
  "lattice": [[4.939, 0.000, 0.000], [0.000, 4.939, 0.000], [0.000, 0.000, 4.936]],
  "species": ["Mg", "Re", "Os", "Au", "Au"],
  "frac_coords": [[0.000, 0.000, 0.000], [0.000, 0.000, 0.500], [0.500, 0.500, 0.000], [0.000, 0.500, 0.500], [0.500, 0.000, 0.500]]
}

***

Record 2
{
  "formula": "YCdCo",
  "functional": "PBE-GGA",
  "state": "optimized geometry",
  "final_energy_ev_per_atom": -5.031,
  "formation_energy_ev_per_atom": -0.20,
  "dos_ef_per_ev_cell": 4.0,
  "lattice": [[6.489, -1.925, 0.000], [6.489, 1.925, 0.000], [-1.110, 0.000, 4.983]],
  "species": ["Y", "Y", "Cd", "Cd", "Co", "Co"],
  "frac_coords": [[0.138, 0.138, 0.326], [0.862, 0.862, 0.674], [0.426, 0.426, 0.217], [0.574, 0.574, 0.783], [0.231, 0.231, 0.885], [0.769, 0.769, 0.115]]
}

***

Record 3
{
  "formula": "LaMgCl",
  "functional": "PBE-GGA",
  "state": "optimized geometry",
  "raw_formation_energy_kcal_per_mol_atoms": -23.08,
  "de_polymorph_mev_per_atom": 0,
  "final_energy_ev_per_atom": -3.791,
  "dos_ef_per_ev_cell": 5.5,
  "lattice": [[3.621, 0.000, 0.000], [0.000, 3.621, 0.000], [0.000, 0.000, 13.266]],
  "species": ["La", "La", "Mg", "Mg", "Cl", "Cl"],
  "frac_coords": [[0.250, 0.250, 0.245], [0.750, 0.750, 0.755], [0.250, 0.250, 0.568], [0.750, 0.750, 0.432], [0.250, 0.250, 0.875], [0.750, 0.750, 0.125]]
}

***

Record 4
{
  "formula": "Ac8Ge3OsBr4",
  "functional": "PBE-GGA",
  "state": "optimized geometry",
  "raw_formation_energy_kcal_per_mol_atoms": -23.57,
  "final_energy_ev_per_atom": -5.062,
  "dos_ef_per_ev_cell": 13.2,
  "lattice": [[4.568, 2.637, 7.732], [-4.568, 2.637, 7.732], [0.000, -5.275, 7.732]],
  "species": ["Ac", "Ac", "Ac", "Ac", "Ac", "Ac", "Ac", "Ac", "Ge", "Ge", "Ge", "Os", "Br", "Br", "Br", "Br"],
  "frac_coords": [[0.240, 0.240, 0.240], [0.253, 0.727, 0.727], [0.273, 0.273, 0.747], [0.273, 0.747, 0.273], [0.727, 0.253, 0.727], [0.727, 0.727, 0.253], [0.747, 0.273, 0.273], [0.760, 0.760, 0.760], [0.000, 0.000, 0.500], [0.000, 0.500, 0.000], [0.500, 0.000, 0.000], [0.500, 0.500, 0.500], [0.000, 0.000, 0.000], [0.000, 0.500, 0.500], [0.500, 0.000, 0.500], [0.500, 0.500, 0.000]]
}